Here is crystalline Tm5PtSe4 at its relaxed geometry from Alexandria via LeMat-Bulk. Energies are from PBE.

abc: 9.059 9.059 5.735
angles: 90.00 90.00 90.00
Space group I4/m (No. 87)
Unique sites:
Tm 0.000 0.000 0.000 (multiplicity 2)
Tm 0.099 0.285 0.500 (multiplicity 8)
Pt 0.000 0.000 0.500 (multiplicity 2)
Se 0.093 0.307 0.000 (multiplicity 8)

Uncorrected formation energy (eV/atom): -1.608
Uncorrected energy (eV/atom): -5.8417
Magnetic moment (Bohr magnetons per cell): 0.0



Here is crystalline UPtSe4 at its relaxed geometry from Alexandria via LeMat-Bulk. Energies are from PBE.

abc: 5.933 3.922 6.702
angles: 90.00 94.86 90.00
Space group P2/m (No. 10)
Unique sites:
U 0.000 0.000 0.000 (multiplicity 1)
Pt 0.500 0.500 0.000 (multiplicity 1)
Se 0.171 0.500 0.259 (multiplicity 2)
Se 0.353 0.000 0.769 (multiplicity 2)

Uncorrected formation energy (eV/atom): -0.733
Uncorrected energy (eV/atom): -5.9439
Magnetic moment (Bohr magnetons per cell): 0.9



Here is crystalline U3PtSe6 at its relaxed geometry from Alexandria via LeMat-Bulk. Energies are from PBE.

abc: 11.179 13.533 6.608
angles: 90.00 90.00 90.00
Space group Cmc2_1 (No. 36)
Unique sites:
U 0.000 0.109 0.000 (multiplicity 4)
U 0.168 0.396 0.097 (multiplicity 8)
Pt 0.000 0.291 0.725 (multiplicity 4)
Se 0.000 0.273 0.310 (multiplicity 4)
Se 0.000 0.474 0.805 (multiplicity 4)
Se 0.165 0.034 0.299 (multiplicity 8)
Se 0.194 0.227 0.855 (multiplicity 8)

Uncorrected formation energy (eV/atom): -0.973
Uncorrected energy (eV/atom): -7.0547
Magnetic moment (Bohr magnetons per cell): 24.0



Here is crystalline UPtSe2 at its relaxed geometry from Alexandria via LeMat-Bulk. Energies are from PBE.

abc: 3.5738 3.5738 26.1124
angles: 90.00 90.00 120.00
Space group R-3m (No. 166, hexagonal axes)
Unique sites:
U 0.0000 0.0000 0.0000 (multiplicity 3)
Pt 0.0000 0.0000 0.5000 (multiplicity 3)
Se 0.0000 0.0000 0.1104 (multiplicity 6)

Uncorrected formation energy (eV/atom): 0.065
Uncorrected energy (eV/atom): -6.0096
Magnetic moment (Bohr magnetons per cell): 10.0